Entry 1:
Computed, not measured: a geometry-optimized CeSiRh2 structure at the GGA-PBE level of DFT.

CIF file:
```
data_CeSiRh2
_cell_length_a 7.2096
_cell_length_b 6.8072
_cell_length_c 5.6437
_cell_angle_alpha 90.00
_cell_angle_beta 90.00
_cell_angle_gamma 90.00
_space_group_name_H-M_alt 'P 1'
_space_group_IT_number 1
_space_group_name_Hall 'P 1'
loop_
_atom_site_label
_atom_site_type_symbol
_atom_site_fract_x
_atom_site_fract_y
_atom_site_fract_z
_atom_site_occupancy
Ce1 Ce 0.0252 0.2500 0.1452 1
Ce2 Ce 0.4748 0.7500 0.6452 1
Ce3 Ce 0.5252 0.2500 0.3548 1
Ce4 Ce 0.9748 0.7500 0.8548 1
Si1 Si 0.1133 0.7500 0.3524 1
Si2 Si 0.3867 0.2500 0.8524 1
Si3 Si 0.6133 0.7500 0.1476 1
Si4 Si 0.8867 0.2500 0.6476 1
Rh1 Rh 0.1800 0.0456 0.5978 1
Rh2 Rh 0.1800 0.4544 0.5978 1
Rh3 Rh 0.3200 0.5456 0.0978 1
Rh4 Rh 0.3200 0.9544 0.0978 1
Rh5 Rh 0.6800 0.0456 0.9022 1
Rh6 Rh 0.6800 0.4544 0.9022 1
Rh7 Rh 0.8200 0.5456 0.4022 1
Rh8 Rh 0.8200 0.9544 0.4022 1
```

- Symmetry: No. 62
- Uncorrected energy: -7.48 eV per atom
- Raw formation energy: -0.964 eV per atom

Entry 2:
Computed, not measured: a geometry-optimized Ce3Si3Rh structure at the GGA-PBE level of DFT.

CIF file:
```
data_Ce3Si3Rh
_cell_length_a 5.8232
_cell_length_b 5.8232
_cell_length_c 5.8232
_cell_angle_alpha 108.81
_cell_angle_beta 108.81
_cell_angle_gamma 108.81
_space_group_name_H-M_alt 'P 1'
_space_group_IT_number 1
_space_group_name_Hall 'P 1'
loop_
_atom_site_label
_atom_site_type_symbol
_atom_site_fract_x
_atom_site_fract_y
_atom_site_fract_z
_atom_site_occupancy
Ce1 Ce 0.0657 0.4672 0.4672 1
Ce2 Ce 0.4672 0.0657 0.4672 1
Ce3 Ce 0.4672 0.4672 0.0657 1
Si1 Si 0.5553 0.9671 0.9671 1
Si2 Si 0.9671 0.5553 0.9671 1
Si3 Si 0.9671 0.9671 0.5553 1
Rh1 Rh 0.6897 0.6897 0.6897 1
```

- Symmetry: No. 160
- Uncorrected energy: -6.45 eV per atom
- Distance to the lowest polymorph of the same formula: 250.6 meV per atom
- Raw formation energy: -0.531 eV per atom

Entry 3:
Computed, not measured: a geometry-optimized Ce3Si6Rh20 structure at the GGA-PBE level of DFT.

CIF file:
```
data_Ce3Si6Rh20
_cell_length_a 8.5614
_cell_length_b 8.5614
_cell_length_c 8.5614
_cell_angle_alpha 60.00
_cell_angle_beta 60.00
_cell_angle_gamma 60.00
_space_group_name_H-M_alt 'P 1'
_space_group_IT_number 1
_space_group_name_Hall 'P 1'
loop_
_atom_site_label
_atom_site_type_symbol
_atom_site_fract_x
_atom_site_fract_y
_atom_site_fract_z
_atom_site_occupancy
Ce1 Ce 0.0000 0.0000 0.0000 1
Ce2 Ce 0.2500 0.2500 0.2500 1
Ce3 Ce 0.7500 0.7500 0.7500 1
Si1 Si 0.2755 0.2755 0.7245 1
Si2 Si 0.2755 0.7245 0.2755 1
Si3 Si 0.2755 0.7245 0.7245 1
Si4 Si 0.7245 0.2755 0.2755 1
Si5 Si 0.7245 0.2755 0.7245 1
Si6 Si 0.7245 0.7245 0.2755 1
Rh1 Rh 0.0000 0.0000 0.3401 1
Rh2 Rh 0.0000 0.0000 0.6599 1
Rh3 Rh 0.0000 0.3401 0.0000 1
Rh4 Rh 0.0000 0.3401 0.6599 1
Rh5 Rh 0.0000 0.6599 0.0000 1
Rh6 Rh 0.0000 0.6599 0.3401 1
Rh7 Rh 0.1374 0.6209 0.6209 1
Rh8 Rh 0.3401 0.0000 0.0000 1
Rh9 Rh 0.3401 0.0000 0.6599 1
Rh10 Rh 0.3401 0.6599 0.0000 1
Rh11 Rh 0.3791 0.3791 0.3791 1
Rh12 Rh 0.3791 0.3791 0.8626 1
Rh13 Rh 0.3791 0.8626 0.3791 1
Rh14 Rh 0.6209 0.1374 0.6209 1
Rh15 Rh 0.6209 0.6209 0.1374 1
Rh16 Rh 0.6209 0.6209 0.6209 1
Rh17 Rh 0.6599 0.0000 0.0000 1
Rh18 Rh 0.6599 0.0000 0.3401 1
Rh19 Rh 0.6599 0.3401 0.0000 1
Rh20 Rh 0.8626 0.3791 0.3791 1
```

- Symmetry: No. 225
- Uncorrected energy: -7.51 eV per atom
- Raw formation energy: -0.702 eV per atom

Entry 4:
Computed, not measured: a geometry-optimized Ce3Si4Rh2 structure at the GGA-PBE level of DFT.

CIF file:
```
data_Ce3Si4Rh2
_cell_length_a 5.8375
_cell_length_b 5.8375
_cell_length_c 8.1480
_cell_angle_alpha 102.91
_cell_angle_beta 102.91
_cell_angle_gamma 41.69
_space_group_name_H-M_alt 'P 1'
_space_group_IT_number 1
_space_group_name_Hall 'P 1'
loop_
_atom_site_label
_atom_site_type_symbol
_atom_site_fract_x
_atom_site_fract_y
_atom_site_fract_z
_atom_site_occupancy
Ce1 Ce 0.0000 0.0000 0.0000 1
Ce2 Ce 0.3301 0.3301 0.3395 1
Ce3 Ce 0.6699 0.6699 0.6605 1
Si1 Si 0.0465 0.0465 0.3831 1
Si2 Si 0.2757 0.2757 0.9399 1
Si3 Si 0.7243 0.7243 0.0601 1
Si4 Si 0.9535 0.9535 0.6169 1
Rh1 Rh 0.3933 0.3933 0.7252 1
Rh2 Rh 0.6067 0.6067 0.2748 1
```

- Symmetry: No. 12
- Uncorrected energy: -6.91 eV per atom
- Distance to the lowest polymorph of the same formula: 0.0 meV per atom
- Raw formation energy: -0.890 eV per atom

Entry 5:
Computed, not measured: a geometry-optimized Ce4Si6Rh7 structure at the GGA-PBE level of DFT.

CIF file:
```
data_Ce4Si6Rh7
_cell_length_a 7.2642
_cell_length_b 7.2642
_cell_length_c 7.2642
_cell_angle_alpha 109.47
_cell_angle_beta 109.47
_cell_angle_gamma 109.47
_space_group_name_H-M_alt 'P 1'
_space_group_IT_number 1
_space_group_name_Hall 'P 1'
loop_
_atom_site_label
_atom_site_type_symbol
_atom_site_fract_x
_atom_site_fract_y
_atom_site_fract_z
_atom_site_occupancy
Ce1 Ce 0.0000 0.0000 0.5000 1
Ce2 Ce 0.0000 0.5000 0.0000 1
Ce3 Ce 0.5000 0.0000 0.0000 1
Ce4 Ce 0.5000 0.5000 0.5000 1
Si1 Si 0.0000 0.3288 0.3288 1
Si2 Si 0.0000 0.6712 0.6712 1
Si3 Si 0.3288 0.0000 0.3288 1
Si4 Si 0.3288 0.3288 0.0000 1
Si5 Si 0.6712 0.0000 0.6712 1
Si6 Si 0.6712 0.6712 0.0000 1
Rh1 Rh 0.0000 0.0000 0.0000 1
Rh2 Rh 0.2500 0.5000 0.7500 1
Rh3 Rh 0.2500 0.7500 0.5000 1
Rh4 Rh 0.5000 0.2500 0.7500 1
Rh5 Rh 0.5000 0.7500 0.2500 1
Rh6 Rh 0.7500 0.2500 0.5000 1
Rh7 Rh 0.7500 0.5000 0.2500 1
```

- Symmetry: No. 229
- Uncorrected energy: -7.27 eV per atom
- Raw formation energy: -0.936 eV per atom

Entry 6:
Computed, not measured: a geometry-optimized Ce12Si6Rh structure at the GGA-PBE level of DFT.

CIF file:
```
data_Ce12Si6Rh
_cell_length_a 7.7749
_cell_length_b 7.7749
_cell_length_c 7.7749
_cell_angle_alpha 94.86
_cell_angle_beta 94.86
_cell_angle_gamma 94.86
_space_group_name_H-M_alt 'P 1'
_space_group_IT_number 1
_space_group_name_Hall 'P 1'
loop_
_atom_site_label
_atom_site_type_symbol
_atom_site_fract_x
_atom_site_fract_y
_atom_site_fract_z
_atom_site_occupancy
Ce1 Ce 0.0153 0.9137 0.6508 1
Ce2 Ce 0.0863 0.3492 0.9847 1
Ce3 Ce 0.1626 0.4288 0.5342 1
Ce4 Ce 0.3492 0.9847 0.0863 1
Ce5 Ce 0.4288 0.5342 0.1626 1
Ce6 Ce 0.4658 0.8374 0.5712 1
Ce7 Ce 0.5342 0.1626 0.4288 1
Ce8 Ce 0.5712 0.4658 0.8374 1
Ce9 Ce 0.6508 0.0153 0.9137 1
Ce10 Ce 0.8374 0.5712 0.4658 1
Ce11 Ce 0.9137 0.6508 0.0153 1
Ce12 Ce 0.9847 0.0863 0.3492 1
Si1 Si 0.1621 0.7411 0.3265 1
Si2 Si 0.2589 0.6735 0.8379 1
Si3 Si 0.3265 0.1621 0.7411 1
Si4 Si 0.6735 0.8379 0.2589 1
Si5 Si 0.7411 0.3265 0.1621 1
Si6 Si 0.8379 0.2589 0.6735 1
Rh1 Rh 0.0000 0.0000 0.0000 1
```

- Symmetry: No. 148
- Uncorrected energy: -6.24 eV per atom
- Raw formation energy: -0.394 eV per atom